An optimized crystal structure of MnPtN2O, computed with PBE+U.

Unit cell a=3.8318 b=3.8318 c=4.3425 alpha=90.00 beta=90.00 gamma=90.00
Last column: nearest neighbours and their distance in Å.
Space group P4/mmm (No. 123)
Inequivalent atoms, fractional coordinates:
Mn  0.0000  0.0000  0.0000 [1 per cell]  4 O 2.71, 8 N 2.90
Pt  0.5000  0.5000  0.5000 [1 per cell]  4 N 1.92
N  0.0000  0.5000  0.5000 [2 per cell]  2 Pt 1.92
O  0.5000  0.5000  0.0000 [1 per cell]  2 Pt 2.17

Final energy = -6.118 eV per atom